## MnRe2Os (GGA-PBE)

Data for a relaxed MnRe2Os crystal.

size of the total moment = 1.286 μB/cell
DFT formation energy = 0.090 eV per atom
electronic total energy = -11.233 eV per atom
mass density = 18.1 g/cm3
symmetry = No. 10

a b c (Å): 4.679 2.726 4.698
angles (deg): 90.00 109.38 90.00
Fractional positions:
Mn 0.000 0.000 0.000
Re 0.000 0.500 0.500
Re 0.500 0.000 0.500
Os 0.500 0.500 0.000